Entry 1:
The following is a PBE-GGA calculation of Cs2ZnSnO4 after structural relaxation, from Alexandria via LeMat-Bulk.

Lattice parameters (Å, degrees): 6.241 6.242 6.080 120.89 120.89 90.00
Fractional positions:
1 Cs 0.486 0.986 0.972
2 Cs 0.236 0.236 0.472
3 Zn 0.736 0.736 0.472
4 Sn 0.986 0.486 0.972
5 O 0.748 0.603 0.714
6 O 0.869 0.505 0.229
7 O 0.360 0.724 0.229
8 O 0.967 0.112 0.715

ΔE_f (raw)	-1.495	eV/atom
uncorrected energy	-4.85	eV/atom
space-group type	No. 82
mass density	5.2	Mg/m³

---

Entry 2:
The following is a PBE-GGA calculation of CsVBi2N after structural relaxation, from Alexandria via LeMat-Bulk.

Lattice parameters (Å, degrees): 6.243 4.135 6.243 90.00 90.00 90.00
Each line ends with the local moment (μB).
Fractional positions:
1 Cs 0.000 0.000 0.000  0.01
2 N 0.000 0.500 0.000  0.03
3 Bi 0.000 0.000 0.500  0.05
4 Bi 0.500 0.000 0.000  0.07
5 V 0.500 0.500 0.500  -0.22

ΔE_f (raw)	2.366	eV/atom
uncorrected energy	-2.85	eV/atom
space-group type	No. 123
mass density	6.3	Mg/m³

---

Entry 3:
The following is a PBE-GGA calculation of Tm4GaBiTe2 after structural relaxation, from Alexandria via LeMat-Bulk.

Lattice parameters (Å, degrees): 4.229 7.549 7.521 108.84 90.00 90.00
Fractional positions:
1 Tm 0.500 0.264 0.232
2 Tm 0.500 0.736 0.768
3 Tm 0.000 0.270 0.771
4 Tm 0.000 0.730 0.229
5 Ga 0.500 0.500 0.000
6 Bi 0.000 0.000 0.000
7 Te 0.500 0.000 0.500
8 Te 0.000 0.500 0.500

ΔE_f (raw)	-0.951	eV/atom
uncorrected energy	-4.84	eV/atom
space-group type	No. 10
mass density	8.8	Mg/m³